[1]
Entry from Alexandria: a relaxed structure of Na3IF8 (PBE-GGA).

- uncorrected formation energy (eV per atom) = -2.17
- calculated total energy (eV per cell) = -46.55

Cell lengths 5.426, 5.426, 5.426 Å; angles 90.00, 90.00, 90.00 degrees
Fractional positions:
Na1 0.500 0.500 0.000
Na2 0.500 0.000 0.500
Na3 0.000 0.500 0.500
I1 0.000 0.000 0.000
F1 0.228 0.228 0.772
F2 0.228 0.772 0.228
F3 0.772 0.228 0.228
F4 0.772 0.772 0.772
F5 0.772 0.772 0.228
F6 0.772 0.228 0.772
F7 0.228 0.772 0.772
F8 0.228 0.228 0.228


[2]
Entry from Alexandria: a relaxed structure of KTlSnPb (PBE-GGA).

- calculated total energy (eV per cell) = -11.48

Cell lengths 5.649, 5.649, 5.649 Å; angles 60.00, 60.00, 60.00 degrees
Fractional positions:
Pb1 0.000 0.000 0.000
Tl1 0.500 0.500 0.500
K1 0.750 0.750 0.750
Sn1 0.250 0.250 0.250


- What is the formula in the first record?
  Na3IF8